First-principles (PBE) data for crystalline ZrScOF2 at its relaxed geometry, as listed in Alexandria.

It has space group P4/mmm (No. 123), with a = 4.1492 Å, b = 4.1492 Å, c = 4.1777 Å, α = 90.00°, β = 90.00° and γ = 90.00°. The inequivalent atoms are Zr at (0.0000, 0.0000, 0.0000), Sc at (0.5000, 0.5000, 0.5000), O at (0.5000, 0.5000, 0.0000) and F at (0.0000, 0.5000, 0.5000).

The raw formation energy is -2.18 eV per atom. The raw total energy is -34.49 eV for the cell shown.